# TaCoP2 | the Alexandria database | PBE | optimized geometry
# Formation energy from the elements in kcal/mol of atoms: -6.47
# Raw total energy in eV/atom: -7.72
# Energy above the most stable polymorph in this dataset in meV per atom: 229
# Total magnetization in μB/cell: 0.00
# Crystal system: monoclinic
data_TaCoP2
_chemical_formula_sum 'Ta2 Co2 P4'
_space_group_name_H-M_alt 'C 1 2/m 1'
_space_group_IT_number 12
_space_group_name_Hall '-C 2y'
_cell_length_a 6.6038
_cell_length_b 3.1928
_cell_length_c 5.4079
_cell_angle_alpha 90.00
_cell_angle_beta 103.92
_cell_angle_gamma 90.00
loop_
_atom_site_label
_atom_site_fract_x
_atom_site_fract_y
_atom_site_fract_z
Ta1 0.0000 0.0000 0.0000
Co1 0.0000 0.5000 0.5000
P1 0.2434 0.0000 0.7024